Density functional theory data (PBE-GGA) for a relaxed Pm6HgRh2I3 crystal.

a b c (Å): 7.3657 12.7508 8.4367
angles (deg): 90.00 106.94 90.00
Space group C2/m (No. 12)
Symmetry-distinct sites (fractional):
Pm 0.2034 0.0000 0.1908 (multiplicity 4)
Pm 0.2447 0.3199 0.1925 (multiplicity 8)
Hg 0.0000 0.5000 0.0000 (multiplicity 2)
Rh 0.0000 0.1671 0.0000 (multiplicity 4)
I 0.0000 0.0000 0.5000 (multiplicity 2)
I 0.0000 0.3370 0.5000 (multiplicity 4)

Summary:
DOS at the Fermi energy ... 7.836 states/eV/f.u.
Formation energy from raw total energies ... -835.5 meV per atom



Density functional theory data (PBE-GGA) for a relaxed Pm8HgRh3I4 crystal.

a b c (Å): 8.4807 8.4807 24.1688
angles (deg): 90.00 90.00 120.00
Space group R-3m (No. 166, hexagonal axes)
Symmetry-distinct sites (fractional):
Pm 0.0000 0.0000 0.2296 (multiplicity 6)
Pm 0.0215 0.5108 0.7706 (multiplicity 18)
Hg 0.0000 0.0000 0.5000 (multiplicity 3)
Rh 0.0000 0.5000 0.5000 (multiplicity 9)
I 0.0000 0.0000 0.0000 (multiplicity 3)
I 0.0000 0.5000 0.0000 (multiplicity 9)

Summary:
DOS at the Fermi energy ... 11.175 states/eV/f.u.
Formation energy from raw total energies ... -849.3 meV per atom



Density functional theory data (PBE-GGA) for a relaxed Pr6HgI8 crystal.

a b c (Å): 7.7257 7.7257 35.2815
angles (deg): 90.00 90.00 120.00
Space group R-3 (No. 148, hexagonal axes)
Symmetry-distinct sites (fractional):
Pr 0.9999 0.3203 0.4485 (multiplicity 18)
Hg 0.0000 0.0000 0.5000 (multiplicity 3)
I 0.0000 0.0000 0.1667 (multiplicity 6)
I 0.9999 0.3366 0.6082 (multiplicity 18)

Summary:
DOS at the Fermi energy ... 5.576 states/eV/f.u.
Formation energy from raw total energies ... -1090.2 meV per atom



Density functional theory data (PBE-GGA) for a relaxed PrHgI6 crystal.

a b c (Å): 7.1775 7.6776 8.2670
angles (deg): 112.59 95.85 113.41
Space group P-1 (No. 2)
Symmetry-distinct sites (fractional):
Pr 0.0000 0.0000 0.0000 (multiplicity 1)
Hg 0.5000 0.0000 0.5000 (multiplicity 1)
I 0.2268 0.8024 0.7548 (multiplicity 2)
I 0.2495 0.1630 0.4254 (multiplicity 2)
I 0.2565 0.4659 0.0295 (multiplicity 2)

Summary:
DOS at the Fermi energy ... 2.860 states/eV/f.u.
Formation energy from raw total energies ... -660.3 meV per atom



Density functional theory data (PBE-GGA) for a relaxed Pr4HgI5 crystal.

a b c (Å): 19.6971 4.3341 9.4027
angles (deg): 90.00 102.03 90.00
Space group C2/m (No. 12)
Symmetry-distinct sites (fractional):
Pr 0.0016 0.0000 0.2306 (multiplicity 4)
Pr 0.1583 0.5000 0.0732 (multiplicity 4)
Hg 0.0000 0.5000 0.0000 (multiplicity 2)
I 0.0000 0.5000 0.5000 (multiplicity 2)
I 0.1686 0.0000 0.3333 (multiplicity 4)
I 0.1702 0.0000 0.8185 (multiplicity 4)

Summary:
DOS at the Fermi energy ... 3.746 states/eV/f.u.
Formation energy from raw total energies ... -1087.4 meV per atom



Density functional theory data (PBE-GGA) for a relaxed Pr6Hg5I crystal.

a b c (Å): 5.5058 7.7086 16.4814
angles (deg): 90.00 90.00 90.00
Space group Immm (No. 71)
Symmetry-distinct sites (fractional):
Pr 0.0000 0.2461 0.0000 (multiplicity 4)
Pr 0.0000 0.2517 0.3320 (multiplicity 8)
Hg 0.0000 0.0000 0.1658 (multiplicity 4)
Hg 0.0000 0.5000 0.1757 (multiplicity 4)
Hg 0.0000 0.5000 0.5000 (multiplicity 2)
I 0.0000 0.0000 0.5000 (multiplicity 2)

Summary:
DOS at the Fermi energy ... 14.219 states/eV/f.u.
Formation energy from raw total energies ... -495.8 meV per atom



Density functional theory data (PBE-GGA) for a relaxed Pr3HgI7 crystal.

a b c (Å): 8.7586 8.7586 7.3128
angles (deg): 90.00 90.00 120.00
Space group P3m1 (No. 156)
Symmetry-distinct sites (fractional):
Pr 0.0147 0.5073 0.0000 (multiplicity 3)
Hg 0.3333 0.6667 0.6627 (multiplicity 1)
I 0.1676 0.3353 0.2697 (multiplicity 3)
I 0.3271 0.1635 0.7545 (multiplicity 3)
I 0.6667 0.3333 0.2565 (multiplicity 1)

Summary:
DOS at the Fermi energy ... 3.951 states/eV/f.u.
Formation energy from raw total energies ... -1130.9 meV per atom



Density functional theory data (PBE-GGA) for a relaxed PrHgI3 crystal.

a b c (Å): 17.5025 14.0667 7.9686
angles (deg): 90.00 90.17 90.00
Space group C2/c (No. 15)
Symmetry-distinct sites (fractional):
Pr 0.2500 0.0802 0.0848 (multiplicity 8)
Hg 0.0000 0.2194 0.7500 (multiplicity 4)
Hg 0.0000 0.2813 0.2500 (multiplicity 4)
I 0.1297 0.0369 0.3714 (multiplicity 8)
I 0.1297 0.4631 0.6270 (multiplicity 8)
I 0.2501 0.2117 0.7603 (multiplicity 8)

Summary:
DOS at the Fermi energy ... 0.000 states/eV/f.u.
Formation energy from raw total energies ... -1087.9 meV per atom
Energy above the lowest structure with this stoichiometry ... 0 meV per atom



Density functional theory data (PBE-GGA) for a relaxed Pr3HgI crystal.

a b c (Å): 14.3318 13.3366 7.2315
angles (deg): 90.00 108.93 90.00
Space group C2/c (No. 15)
Symmetry-distinct sites (fractional):
Pr 0.0882 0.1853 0.0375 (multiplicity 8)
Pr 0.1650 0.2895 0.6308 (multiplicity 8)
Pr 0.1885 0.4459 0.1280 (multiplicity 8)
Hg 0.0000 0.3722 0.2500 (multiplicity 4)
Hg 0.0000 0.3975 0.7500 (multiplicity 4)
I 0.1246 0.0612 0.4476 (multiplicity 8)

Summary:
DOS at the Fermi energy ... 5.928 states/eV/f.u.
Formation energy from raw total energies ... -445.0 meV per atom



Density functional theory data (PBE-GGA) for a relaxed PrHgI3 crystal.

a b c (Å): 6.2651 6.2651 6.2651
angles (deg): 90.00 90.00 90.00
Space group Pm-3m (No. 221)
Symmetry-distinct sites (fractional):
Pr 0.0000 0.0000 0.0000 (multiplicity 1)
Hg 0.5000 0.5000 0.5000 (multiplicity 1)
I 0.0000 0.0000 0.5000 (multiplicity 3)

Summary:
DOS at the Fermi energy ... 0.000 states/eV/f.u.
Formation energy from raw total energies ... -1022.1 meV per atom
Energy above the lowest structure with this stoichiometry ... 66 meV per atom



Density functional theory data (PBE-GGA) for a relaxed Pr4HgSeI2 crystal.

a b c (Å): 7.5593 4.3674 8.2578
angles (deg): 90.00 108.17 90.00
Space group P2/m (No. 10)
Symmetry-distinct sites (fractional):
Pr 0.2232 0.0000 0.2064 (multiplicity 2)
Pr 0.2508 0.5000 0.7853 (multiplicity 2)
Hg 0.5000 0.0000 0.0000 (multiplicity 1)
Se 0.0000 0.5000 0.0000 (multiplicity 1)
I 0.0000 0.0000 0.5000 (multiplicity 1)
I 0.5000 0.5000 0.5000 (multiplicity 1)

Summary:
DOS at the Fermi energy ... 5.482 states/eV/f.u.
Formation energy from raw total energies ... -1019.3 meV per atom



Density functional theory data (PBE-GGA) for a relaxed Pr8Si3HgI4 crystal.

a b c (Å): 8.8122 8.8122 23.0299
angles (deg): 90.00 90.00 120.00
Space group R-3m (No. 166, hexagonal axes)
Symmetry-distinct sites (fractional):
Pr 0.0000 0.0000 0.2330 (multiplicity 6)
Pr 0.0118 0.5059 0.7639 (multiplicity 18)
Si 0.0000 0.5000 0.5000 (multiplicity 9)
Hg 0.0000 0.0000 0.5000 (multiplicity 3)
I 0.0000 0.0000 0.0000 (multiplicity 3)
I 0.0000 0.5000 0.0000 (multiplicity 9)

Summary:
DOS at the Fermi energy ... 8.547 states/eV/f.u.
Formation energy from raw total energies ... -863.6 meV per atom